Record 1
NaIrOs: optimized geometry, PBE-GGA.

The calculation puts the formation enthalpy at 0 K at 59.00 kJ/mol of atoms. The energy relative to the lowest polymorph listed for this composition comes out at 239 meV per atom.

The space group is Amm2 (No. 38) and the conventional cell measures 5.0540, 7.3928 and 5.3391 Å, with angles of 90.00, 90.00 and 90.00 degrees. The distinct sites, in fractional coordinates, are Na at (0.0000, 0.1545, 0.0000), Ir at (0.5000, 0.2080, 0.7892) and Os at (0.2407, 0.0000, 0.4664).


Record 2
NaIrOs: optimized geometry, PBE-GGA.

The calculation puts the formation enthalpy at 0 K at 70.11 kJ/mol of atoms. The energy relative to the lowest polymorph listed for this composition comes out at 354 meV per atom.

The space group is P4/nmm (No. 129, origin choice 2) and the conventional cell measures 3.7430, 3.7430 and 8.2652 Å, with angles of 90.00, 90.00 and 90.00 degrees. The distinct sites, in fractional coordinates, are Na at (0.2500, 0.2500, 0.1192), Ir at (0.2500, 0.2500, 0.7155) and Os at (0.2500, 0.7500, 0.5000).


Record 3
NaIrOs: optimized geometry, PBE-GGA.

The calculation puts the formation enthalpy at 0 K at 64.10 kJ/mol of atoms. The energy relative to the lowest polymorph listed for this composition comes out at 291 meV per atom.

The space group is Cm (No. 8) and the conventional cell measures 11.0470, 4.0365 and 7.2842 Å, with angles of 90.00, 125.71 and 90.00 degrees. The distinct sites, in fractional coordinates, are Na at (0.0000, 0.0000, 0.0000), Na at (0.1782, 0.0000, 0.5843), Ir at (0.2069, 0.5000, 0.9667), Ir at (0.3362, 0.5000, 0.4076), Os at (0.3419, 0.0000, 0.1860) and Os at (0.4694, 0.0000, 0.6113).


Record 4
NaIrOs: optimized geometry, PBE-GGA.

The calculation puts the formation enthalpy at 0 K at 60.03 kJ/mol of atoms. The energy relative to the lowest polymorph listed for this composition comes out at 249 meV per atom.

The space group is P-6m2 (No. 187) and the conventional cell measures 4.4706, 4.4706 and 6.0183 Å, with angles of 90.00, 90.00 and 120.00 degrees. The distinct sites, in fractional coordinates, are Na at (0.0000, 0.0000, 0.0000), Na at (0.0000, 0.0000, 0.5000), Ir at (0.3333, 0.6667, 0.2194) and Os at (0.6667, 0.3333, 0.1905).


Record 5
Na3IrOs: optimized geometry, PBE-GGA.

The calculation puts the formation enthalpy at 0 K at 183.15 kJ/mol of atoms. The energy relative to the lowest polymorph listed for this composition comes out at 0 meV per atom.

The space group is Pm-3m (No. 221) and the conventional cell measures 5.3628, 5.3628 and 5.3628 Å, with angles of 90.00, 90.00 and 90.00 degrees. The distinct sites, in fractional coordinates, are Na at (0.0000, 0.0000, 0.5000), Ir at (0.0000, 0.0000, 0.0000) and Os at (0.5000, 0.5000, 0.5000).


Record 6
NaIrOs: optimized geometry, PBE-GGA.

The calculation puts the formation enthalpy at 0 K at 40.15 kJ/mol of atoms. The energy relative to the lowest polymorph listed for this composition comes out at 43 meV per atom.

The space group is Cm (No. 8) and the conventional cell measures 10.7579, 2.7377 and 6.9836 Å, with angles of 90.00, 113.76 and 90.00 degrees. The distinct sites, in fractional coordinates, are Na at (0.0000, 0.0000, 0.0000), Na at (0.1154, 0.5000, 0.3334), Ir at (0.3097, 0.0000, 0.6443), Ir at (0.3292, 0.0000, 0.2380), Os at (0.0065, 0.0000, 0.6047) and Os at (0.2145, 0.5000, 0.8755).


Record 7
NaIrOs: optimized geometry, PBE-GGA.

The calculation puts the formation enthalpy at 0 K at 41.37 kJ/mol of atoms. The energy relative to the lowest polymorph listed for this composition comes out at 56 meV per atom.

The space group is C2/m (No. 12) and the conventional cell measures 11.1287, 3.9528 and 5.3813 Å, with angles of 90.00, 104.17 and 90.00 degrees. The distinct sites, in fractional coordinates, are Na at (0.0000, 0.0000, 0.0000), Na at (0.0000, 0.0000, 0.5000), Ir at (0.2081, 0.5000, 0.3519) and Os at (0.2117, 0.5000, 0.8608).


Record 8
RbNa2IrOs: optimized geometry, PBE-GGA.

The calculation puts the formation enthalpy at 0 K at 78.66 kJ/mol of atoms.

The space group is P4/mmm (No. 123) and the conventional cell measures 5.6029, 5.6029 and 4.7549 Å, with angles of 90.00, 90.00 and 90.00 degrees. The distinct sites, in fractional coordinates, are Rb at (0.0000, 0.0000, 0.0000), Na at (0.0000, 0.5000, 0.5000), Ir at (0.5000, 0.5000, 0.5000) and Os at (0.5000, 0.5000, 0.0000).


Record 9
NaIrOsS2: optimized geometry, PBE-GGA.

The calculation puts the formation energy (no corrections) at 1.374 eV per atom.

The space group is P4/mmm (No. 123) and the conventional cell measures 4.5509, 4.5509 and 5.2613 Å, with angles of 90.00, 90.00 and 90.00 degrees. The distinct sites, in fractional coordinates, are Na at (0.0000, 0.0000, 0.0000), Ir at (0.0000, 0.0000, 0.5000), Os at (0.5000, 0.5000, 0.0000) and S at (0.0000, 0.5000, 0.5000).


Record 10
Na2TaIrOs: optimized geometry, PBE-GGA.

The calculation puts the formation enthalpy at 0 K at 184.41 kJ/mol of atoms.

The space group is P4/mmm (No. 123) and the conventional cell measures 4.7527, 4.7527 and 4.8238 Å, with angles of 90.00, 90.00 and 90.00 degrees. The distinct sites, in fractional coordinates, are Na at (0.0000, 0.5000, 0.0000), Ta at (0.0000, 0.0000, 0.5000), Ir at (0.5000, 0.5000, 0.0000) and Os at (0.5000, 0.5000, 0.5000).


Record 11
NaVIrOs2: optimized geometry, PBE-GGA.

The calculation puts the formation enthalpy at 0 K at 150.61 kJ/mol of atoms.

The space group is P4/mmm (No. 123) and the conventional cell measures 4.7832, 4.7832 and 4.7309 Å, with angles of 90.00, 90.00 and 90.00 degrees. The distinct sites, in fractional coordinates, are Na at (0.0000, 0.0000, 0.0000), V at (0.5000, 0.5000, 0.0000), Ir at (0.5000, 0.5000, 0.5000) and Os at (0.0000, 0.5000, 0.5000).


Record 12
NaP2Ir: optimized geometry, PBE-GGA.

The calculation puts the formation enthalpy at 0 K at -30.16 kJ/mol of atoms. The energy relative to the lowest polymorph listed for this composition comes out at 68 meV per atom.

The space group is I-4m2 (No. 119) and the conventional cell measures 3.9684, 3.9684 and 9.2264 Å, with angles of 90.00, 90.00 and 90.00 degrees. The distinct sites, in fractional coordinates, are Na at (0.0000, 0.0000, 0.0000), P at (0.0000, 0.0000, 0.3782) and Ir at (0.0000, 0.5000, 0.2500).


Record 13
NaP3Ir3: optimized geometry, PBE-GGA.

The calculation puts the formation enthalpy at 0 K at -44.80 kJ/mol of atoms.

The space group is P6_3/m (No. 176) and the conventional cell measures 8.8647, 8.8647 and 3.9048 Å, with angles of 90.00, 90.00 and 120.00 degrees. The distinct sites, in fractional coordinates, are Na at (0.3333, 0.6667, 0.2500), P at (0.0915, 0.3779, 0.7500) and Ir at (0.0514, 0.6289, 0.7500).


Record 14
NaP2Ir: optimized geometry, PBE-GGA.

The calculation puts the formation enthalpy at 0 K at -17.36 kJ/mol of atoms. The energy relative to the lowest polymorph listed for this composition comes out at 200 meV per atom.

The space group is I-42d (No. 122) and the conventional cell measures 6.3414, 6.3414 and 9.6599 Å, with angles of 90.00, 90.00 and 90.00 degrees. The distinct sites, in fractional coordinates, are Na at (0.0000, 0.0000, 0.0000), P at (0.1608, 0.2500, 0.6250) and Ir at (0.0000, 0.0000, 0.5000).


Record 15
NaP2Ir: optimized geometry, PBE-GGA.

The calculation puts the formation enthalpy at 0 K at -26.99 kJ/mol of atoms. The energy relative to the lowest polymorph listed for this composition comes out at 100 meV per atom.

The space group is Amm2 (No. 38) and the conventional cell measures 4.5633, 5.4654 and 7.1258 Å, with angles of 90.00, 90.00 and 90.00 degrees. The distinct sites, in fractional coordinates, are Na at (0.0000, 0.0000, 0.0000), P at (0.5000, 0.1892, 0.3064) and Ir at (0.5000, 0.0000, 0.6010).


Record 16
NaP2Ir: optimized geometry, PBE-GGA.

The calculation puts the formation enthalpy at 0 K at 0.70 kJ/mol of atoms. The energy relative to the lowest polymorph listed for this composition comes out at 387 meV per atom.

The space group is Fm-3m (No. 225) and the conventional cell measures 6.1597, 6.1597 and 6.1597 Å, with angles of 90.00, 90.00 and 90.00 degrees. The distinct sites, in fractional coordinates, are Na at (0.0000, 0.0000, 0.0000), P at (0.2500, 0.2500, 0.2500) and Ir at (0.0000, 0.0000, 0.5000).


Record 17
NaP2Ir: optimized geometry, PBE-GGA.

The calculation puts the formation enthalpy at 0 K at -19.62 kJ/mol of atoms. The energy relative to the lowest polymorph listed for this composition comes out at 177 meV per atom.

The space group is C2 (No. 5) and the conventional cell measures 5.4214, 6.5158 and 5.0093 Å, with angles of 90.00, 109.72 and 90.00 degrees. The distinct sites, in fractional coordinates, are Na at (0.0000, 0.0000, 0.0000), P at (0.1220, 0.6080, 0.3632) and Ir at (0.0000, 0.2812, 0.5000).


Record 18
NaP2Ir: optimized geometry, PBE-GGA.

The calculation puts the formation enthalpy at 0 K at -35.75 kJ/mol of atoms. The energy relative to the lowest polymorph listed for this composition comes out at 10 meV per atom.

The space group is Pmmm (No. 47) and the conventional cell measures 3.8198, 4.6451 and 4.7371 Å, with angles of 90.00, 90.00 and 90.00 degrees. The distinct sites, in fractional coordinates, are Na at (0.0000, 0.0000, 0.0000), P at (0.5000, 0.5000, 0.2217) and Ir at (0.0000, 0.5000, 0.5000).


Record 19
NaP2Ir: optimized geometry, PBE-GGA.

The calculation puts the formation enthalpy at 0 K at -19.34 kJ/mol of atoms. The energy relative to the lowest polymorph listed for this composition comes out at 180 meV per atom.

The space group is C2 (No. 5) and the conventional cell measures 5.6261, 7.2394 and 3.3006 Å, with angles of 90.00, 107.10 and 90.00 degrees. The distinct sites, in fractional coordinates, are Na at (0.0000, 0.0000, 0.0000), P at (0.1398, 0.6566, 0.3322) and Ir at (0.0000, 0.3526, 0.5000).


Record 20
NaP2Ir: optimized geometry, PBE-GGA.

The calculation puts the formation enthalpy at 0 K at -34.49 kJ/mol of atoms. The energy relative to the lowest polymorph listed for this composition comes out at 23 meV per atom.

The space group is Cm (No. 8) and the conventional cell measures 10.6050, 4.8022 and 3.7710 Å, with angles of 90.00, 109.90 and 90.00 degrees. The distinct sites, in fractional coordinates, are Na at (0.0000, 0.0000, 0.0000), P at (0.2732, 0.2818, 0.2824) and Ir at (0.2735, 0.0000, 0.7826).